1.
## MgMnSn2Bi (SCAN)

Data for a PBEsol-optimized structure of MgMnSn2Bi.

Properties
V = 172 Å³/cell
ΔE_f = 0.81 eV per atom
SG = P4/mmm (123)

Geometry as POSCAR:
```
MgMnSn2Bi
1.0
5.855 0.000 0.000
0.000 5.855 0.000
0.000 0.000 5.004
Mg Mn Sn Bi
1 1 2 1
direct
0.000 0.000 0.000
0.500 0.500 0.000
0.000 0.500 0.500
0.500 0.000 0.500
0.500 0.500 0.500
```

=====

2.
## Na2NbPdS (SCAN)

Data for a PBEsol-optimized structure of Na2NbPdS.

Properties
V = 152 Å³/cell
E_form (uncorrected) = 1103 meV/atom
SG = P4/mmm (123)

Geometry as POSCAR:
```
Na2NbPdS
1.0
5.686 0.000 0.000
0.000 5.686 0.000
0.000 0.000 4.700
Na Nb Pd S
2 1 1 1
direct
0.000 0.500 0.000
0.500 0.000 0.000
0.000 0.000 0.000
0.000 0.000 0.500
0.500 0.500 0.500
```

=====

3.
## Ca2BeNi (SCAN)

Data for a PBEsol-optimized structure of Ca2BeNi.

Properties
V = 80 Å³/cell
ΔE_f = 0.29 eV per atom
SG = P4/mmm (123)

Geometry as POSCAR:
```
Ca2BeNi
1.0
4.786 0.000 0.000
0.000 4.786 0.000
0.000 0.000 3.471
Ca Be Ni
2 1 1
direct
0.000 0.500 0.000
0.500 0.000 0.000
0.000 0.000 0.500
0.500 0.500 0.500
```

=====

4.
## MgCdSi2 (SCAN)

Data for a PBEsol-optimized structure of MgCdSi2.

Properties
energy above the lowest structure with this stoichiometry = 0.000 eV/atom
V = 146 Å³/cell
E_form (uncorrected) = 312 meV/atom
SG = Imm2 (44)

Geometry as POSCAR:
```
MgCdSi2
1.0
3.653 0.000 0.000
0.000 4.525 0.000
0.000 0.000 8.863
Mg Cd Si
2 2 4
direct
0.000 0.000 0.000
0.500 0.500 0.500
0.000 0.500 0.218
0.500 0.000 0.718
0.000 0.000 0.450
0.000 0.500 0.762
0.500 0.000 0.262
0.500 0.500 0.950
```

=====

5.
## Mg2ScCd (SCAN)

Data for a PBEsol-optimized structure of Mg2ScCd.

Properties
V = 174 Å³/cell
ΔE_f = -0.17 eV per atom
SG = Amm2 (38)

Geometry as POSCAR:
```
Mg2ScCd
1.0
4.720 0.000 0.000
0.000 3.147 0.000
0.000 0.000 11.743
Mg Sc Cd
4 2 2
direct
0.000 0.000 0.000
0.000 0.500 0.500
0.500 0.000 0.390
0.500 0.500 0.890
0.000 0.000 0.739
0.000 0.500 0.239
0.500 0.000 0.137
0.500 0.500 0.637
```

=====

6.
## PCBrCl2 (SCAN)

Data for a PBEsol-optimized structure of PCBrCl2.

Properties
V = 82 Å³/cell
E_form (uncorrected) = 1269 meV/atom
SG = P4/mmm (123)

Geometry as POSCAR:
```
PCBrCl2
1.0
4.208 0.000 0.000
0.000 4.208 0.000
0.000 0.000 4.625
P C Br Cl
1 1 1 2
direct
0.000 0.000 0.000
0.000 0.000 0.500
0.500 0.500 0.000
0.000 0.500 0.500
0.500 0.000 0.500
```

=====

7.
## SrIn2Br (SCAN)

Data for a PBEsol-optimized structure of SrIn2Br.

Properties
energy above the lowest structure with this stoichiometry = 0.043 eV/atom
V = 235 Å³/cell
E_form (uncorrected) = -761 meV/atom
SG = I4/mmm (139)

Geometry as POSCAR:
```
SrIn2Br
1.0
4.310 0.000 0.000
0.000 4.310 0.000
0.000 0.000 12.644
Sr In Br
2 4 2
direct
0.000 0.000 0.000
0.500 0.500 0.500
0.000 0.500 0.250
0.000 0.500 0.750
0.500 0.000 0.250
0.500 0.000 0.750
0.000 0.000 0.500
0.500 0.500 0.000
```

=====

8.
## CaLaHg (SCAN)

Data for a PBEsol-optimized structure of CaLaHg.

Properties
energy above the lowest structure with this stoichiometry = 0.000 eV/atom
V = 185 Å³/cell
ΔE_f = -0.48 eV per atom
SG = I4mm (107)

Geometry as POSCAR:
```
CaLaHg
1.0
3.671 0.000 0.000
0.000 3.671 0.000
0.000 0.000 13.694
Ca La Hg
2 2 2
direct
0.000 0.000 0.000
0.500 0.500 0.500
0.000 0.000 0.280
0.500 0.500 0.780
0.000 0.000 0.634
0.500 0.500 0.134
```

=====

9.
## TeRuSeI2 (SCAN)

Data for a PBEsol-optimized structure of TeRuSeI2.

Properties
V = 139 Å³/cell
E_form (uncorrected) = 619 meV/atom
SG = P4/mmm (123)

Geometry as POSCAR:
```
TeRuSeI2
1.0
5.261 0.000 0.000
0.000 5.261 0.000
0.000 0.000 5.022
Te Ru Se I
1 1 1 2
direct
0.000 0.000 0.000
0.000 0.000 0.500
0.500 0.500 0.000
0.000 0.500 0.500
0.500 0.000 0.500
```

=====

10.
## RbTlSe2N (SCAN)

Data for a PBEsol-optimized structure of RbTlSe2N.

Properties
V = 193 Å³/cell
E_form (uncorrected) = 1059 meV/atom
SG = P4/mmm (123)

Geometry as POSCAR:
```
RbTlSe2N
1.0
6.071 0.000 0.000
0.000 6.071 0.000
0.000 0.000 5.230
Rb Tl Se N
1 1 2 1
direct
0.000 0.000 0.000
0.500 0.500 0.500
0.000 0.500 0.000
0.500 0.000 0.000
0.000 0.000 0.500
```

=====

11.
## Ta2OsPt (SCAN)

Data for a PBEsol-optimized structure of Ta2OsPt.

Properties
V = 126 Å³/cell
ΔE_f = -0.54 eV per atom
SG = Cmmm (65)

Geometry as POSCAR:
```
Ta2OsPt
1.0
5.700 0.000 0.000
0.000 7.722 0.000
0.000 0.000 2.871
Ta Os Pt
4 2 2
direct
0.250 0.250 0.000
0.250 0.750 0.000
0.750 0.250 0.000
0.750 0.750 0.000
0.000 0.000 0.500
0.500 0.500 0.500
0.000 0.500 0.500
0.500 0.000 0.500
```

=====

12.
## CaSb (SCAN)

Data for a PBEsol-optimized structure of CaSb.

Properties
V = 123 Å³/cell
E_form (uncorrected) = -675 meV/atom
SG = P4/nmm (129)

Geometry as POSCAR:
```
CaSb
1.0
4.406 0.000 0.000
0.000 4.406 0.000
0.000 0.000 6.318
Ca Sb
2 2
direct
0.250 0.250 0.205
0.750 0.750 0.795
0.250 0.250 0.698
0.750 0.750 0.302
```

=====

13.
## CoTcAs2 (SCAN)

Data for a PBEsol-optimized structure of CoTcAs2.

Properties
energy above the lowest structure with this stoichiometry = 0.000 eV/atom
V = 53 Å³/cell
ΔE_f = 0.06 eV per atom
SG = P4/mmm (123)

Geometry as POSCAR:
```
CoTcAs2
1.0
4.179 0.000 0.000
0.000 4.179 0.000
0.000 0.000 3.052
Co Tc As
1 1 2
direct
0.000 0.000 0.000
0.500 0.500 0.000
0.000 0.500 0.500
0.500 0.000 0.500
```

=====

14.
## Tl2InMo (SCAN)

Data for a PBEsol-optimized structure of Tl2InMo.

Properties
energy above the lowest structure with this stoichiometry = 0.000 eV/atom
V = 193 Å³/cell
ΔE_f = 0.43 eV per atom
SG = Imm2 (44)

Geometry as POSCAR:
```
Tl2InMo
1.0
2.935 0.000 0.000
0.000 4.827 0.000
0.000 0.000 13.612
Tl In Mo
4 2 2
direct
0.000 0.000 0.000
0.000 0.500 0.187
0.500 0.000 0.687
0.500 0.500 0.500
0.000 0.500 0.820
0.500 0.000 0.320
0.000 0.000 0.498
0.500 0.500 0.998
```

=====

15.
## Al4AsP (SCAN)

Data for a PBEsol-optimized structure of Al4AsP.

Properties
V = 102 Å³/cell
ΔE_f = 0.40 eV per atom
SG = F-43m (216)

Geometry as POSCAR:
```
Al4AsP
1.0
0.000 3.707 3.707
3.707 0.000 3.707
3.707 3.707 0.000
Al As P
4 1 1
direct
0.125 0.125 0.125
0.125 0.125 0.625
0.125 0.625 0.125
0.625 0.125 0.125
0.500 0.500 0.500
0.750 0.750 0.750
```

=====

16.
## HfTa2Cu (SCAN)

Data for a PBEsol-optimized structure of HfTa2Cu.

Properties
V = 267 Å³/cell
ΔE_f = 0.32 eV per atom
SG = Fm-3m (225)

Geometry as POSCAR:
```
HfTa2Cu
1.0
6.440 0.000 0.000
0.000 6.440 0.000
0.000 0.000 6.440
Hf Ta Cu
4 8 4
direct
0.000 0.000 0.000
0.000 0.500 0.500
0.500 0.000 0.500
0.500 0.500 0.000
0.250 0.250 0.250
0.250 0.250 0.750
0.250 0.750 0.250
0.250 0.750 0.750
0.750 0.250 0.250
0.750 0.250 0.750
0.750 0.750 0.250
0.750 0.750 0.750
0.000 0.000 0.500
0.000 0.500 0.000
0.500 0.000 0.000
0.500 0.500 0.500
```

=====

17.
## Be2AlPd2 (SCAN)

Data for a PBEsol-optimized structure of Be2AlPd2.

Properties
V = 117 Å³/cell
ΔE_f = -0.70 eV per atom
SG = P4/mbm (127)

Geometry as POSCAR:
```
Be2AlPd2
1.0
6.440 0.000 0.000
0.000 6.440 0.000
0.000 0.000 2.827
Be Al Pd
4 2 4
direct
0.121 0.379 0.000
0.379 0.879 0.000
0.621 0.121 0.000
0.879 0.621 0.000
0.000 0.000 0.000
0.500 0.500 0.000
0.173 0.673 0.500
0.327 0.173 0.500
0.673 0.827 0.500
0.827 0.327 0.500
```

=====

18.
## AlCr2Re (SCAN)

Data for a PBEsol-optimized structure of AlCr2Re.

Properties
V = 51 Å³/cell
ΔE_f = -0.21 eV per atom
SG = P4/mmm (123)

Geometry as POSCAR:
```
AlCr2Re
1.0
4.124 0.000 0.000
0.000 4.124 0.000
0.000 0.000 3.020
Al Cr Re
1 2 1
direct
0.000 0.000 0.000
0.000 0.500 0.500
0.500 0.000 0.500
0.500 0.500 0.000
```

=====

19.
## Zn3B2O6 (SCAN)

Data for a PBEsol-optimized structure of Zn3B2O6.

Properties
energy above the lowest structure with this stoichiometry = 0.000 eV/atom
V = 499 Å³/cell
E_form (uncorrected) = -2081 meV/atom
SG = P-1 (2)

Geometry as POSCAR:
```
Zn3B2O6
1.0
6.294 0.000 0.000
2.358 7.893 0.000
0.041 0.003 10.042
Zn B O
12 8 24
direct
0.015 0.288 0.082
0.109 0.067 0.343
0.221 0.105 0.824
0.250 0.402 0.424
0.440 0.718 0.322
0.482 0.723 0.839
0.518 0.277 0.161
0.560 0.282 0.678
0.750 0.598 0.576
0.779 0.895 0.176
0.891 0.933 0.657
0.985 0.712 0.918
0.157 0.577 0.174
0.183 0.587 0.675
0.337 0.933 0.087
0.338 0.901 0.584
0.662 0.099 0.416
0.663 0.067 0.913
0.817 0.413 0.325
0.843 0.423 0.826
0.004 0.308 0.385
0.026 0.717 0.108
0.168 0.009 0.656
0.182 0.063 0.151
0.220 0.594 0.304
0.229 0.422 0.111
0.240 0.617 0.804
0.306 0.448 0.605
0.329 0.905 0.446
0.330 0.914 0.951
0.490 0.214 0.352
0.496 0.179 0.840
0.504 0.821 0.160
0.510 0.786 0.648
0.670 0.086 0.049
0.671 0.095 0.554
0.694 0.552 0.395
0.760 0.383 0.196
0.771 0.578 0.889
0.780 0.406 0.696
0.818 0.937 0.849
0.832 0.991 0.344
0.974 0.283 0.892
0.996 0.692 0.615
```

=====

20.
## CdRu2Br (SCAN)

Data for a PBEsol-optimized structure of CdRu2Br.

Properties
energy above the lowest structure with this stoichiometry = 0.167 eV/atom
V = 62 Å³/cell
E_form (uncorrected) = 862 meV/atom
SG = P4/mmm (123)

Geometry as POSCAR:
```
CdRu2Br
1.0
3.085 0.000 0.000
0.000 3.085 0.000
0.000 0.000 6.559
Cd Ru Br
1 2 1
direct
0.000 0.000 0.000
0.500 0.500 0.273
0.500 0.500 0.727
0.000 0.000 0.500
```

=====

21.
## SbMo2S2 (SCAN)

Data for a PBEsol-optimized structure of SbMo2S2.

Properties
V = 184 Å³/cell
E_form (uncorrected) = -571 meV/atom
SG = P2_1/m (11)

Geometry as POSCAR:
```
SbMo2S2
1.0
6.505 0.000 0.000
0.000 3.155 0.000
-2.583 0.000 8.987
Sb Mo S
2 4 4
direct
0.006 0.250 0.162
0.994 0.750 0.838
0.108 0.250 0.616
0.337 0.250 0.020
0.663 0.750 0.980
0.892 0.750 0.384
0.264 0.750 0.491
0.472 0.250 0.809
0.528 0.750 0.191
0.736 0.250 0.509
```

=====

22.
## ScIr2Br (SCAN)

Data for a PBEsol-optimized structure of ScIr2Br.

Properties
energy above the lowest structure with this stoichiometry = 0.060 eV/atom
V = 130 Å³/cell
E_form (uncorrected) = 283 meV/atom
SG = Cmmm (65)

Geometry as POSCAR:
```
ScIr2Br
1.0
5.712 0.000 0.000
0.000 7.444 0.000
0.000 0.000 3.069
Sc Ir Br
2 4 2
direct
0.000 0.000 0.000
0.500 0.500 0.000
0.250 0.250 0.500
0.250 0.750 0.500
0.750 0.250 0.500
0.750 0.750 0.500
0.000 0.500 0.000
0.500 0.000 0.000
```

=====

23.
## LaP3N (SCAN)

Data for a PBEsol-optimized structure of LaP3N.

Properties
V = 78 Å³/cell
E_form (uncorrected) = 45 meV/atom
SG = Pm-3m (221)

Geometry as POSCAR:
```
LaP3N
1.0
4.267 0.000 0.000
0.000 4.267 0.000
0.000 0.000 4.267
La P N
1 3 1
direct
0.000 0.000 0.000
0.000 0.500 0.500
0.500 0.000 0.500
0.500 0.500 0.000
0.500 0.500 0.500
```

=====

24.
## MnCr2Rh (SCAN)

Data for a PBEsol-optimized structure of MnCr2Rh.

Properties
energy above the lowest structure with this stoichiometry = 0.222 eV/atom
V = 47 Å³/cell
ΔE_f = -0.03 eV per atom
SG = P4mm (99)

Geometry as POSCAR:
```
MnCr2Rh
1.0
2.754 0.000 0.000
0.000 2.754 0.000
0.000 0.000 6.161
Mn Cr Rh
1 2 1
direct
0.000 0.000 0.000
0.000 0.000 0.559
0.500 0.500 0.805
0.500 0.500 0.296
```

=====

25.
## HfAgH3 (SCAN)

Data for a PBEsol-optimized structure of HfAgH3.

Properties
V = 52 Å³/cell
SG = Pm-3m (221)

Geometry as POSCAR:
```
HfAgH3
1.0
3.726 0.000 0.000
0.000 3.726 0.000
0.000 0.000 3.726
Hf Ag H
1 1 3
direct
0.000 0.000 0.000
0.500 0.500 0.500
0.000 0.000 0.500
0.000 0.500 0.000
0.500 0.000 0.000
```

=====

26.
## NaZr2TaPd (SCAN)

Data for a PBEsol-optimized structure of NaZr2TaPd.

Properties
V = 116 Å³/cell
ΔE_f = 0.98 eV per atom
SG = P4/mmm (123)

Geometry as POSCAR:
```
NaZr2TaPd
1.0
4.970 0.000 0.000
0.000 4.970 0.000
0.000 0.000 4.682
Na Zr Ta Pd
1 2 1 1
direct
0.000 0.000 0.000
0.000 0.500 0.500
0.500 0.000 0.500
0.500 0.500 0.000
0.000 0.000 0.500
```

=====

27.
## MnZnAu3 (SCAN)

Data for a PBEsol-optimized structure of MnZnAu3.

Properties
V = 111 Å³/cell
ΔE_f = 0.61 eV per atom
SG = Pm-3m (221)

Geometry as POSCAR:
```
MnZnAu3
1.0
4.807 0.000 0.000
0.000 4.807 0.000
0.000 0.000 4.807
Mn Zn Au
1 1 3
direct
0.000 0.000 0.000
0.500 0.500 0.500
0.000 0.000 0.500
0.000 0.500 0.000
0.500 0.000 0.000
```

=====

no.,total energy (eV per atom)
1,-33.92
2,-15.69
3,-9.67
4,-13.54
5,-13.82
6,-9.91
7,-27.89
8,-40.79
9,-32.51
10,-27.45
11,-69.35
12,-24.14
13,-23.13
14,-52.82
15,-9.86
16,-52.44
17,-17.10
18,-29.12
19,-10.52
20,-29.02
21,-25.83
22,-43.69
23,-16.67
24,-22.23
25,-20.83
26,-32.01
27,-47.23